# 1
## Er2TlTe6Pb3 (PBE-GGA)

Data for a geometry-optimized Er2TlTe6Pb3 structure.

As for the space group: C2/m. Its total magnetic moment is 0.000 μB per formula unit. The total energy is -49.81 eV/cell. The calculation puts the formation energy from raw total energies at -0.70 eV/atom.

```
Er2TlTe6Pb3
1.0
-1.154 -3.205 2.840
9.287 -2.090 1.414
-1.096 8.390 5.560
Te Pb Tl Er
6 3 1 2
Direct
0.677 0.113 0.353
0.330 0.437 0.660
0.670 0.563 0.340
0.323 0.887 0.647
0.013 0.265 0.025
0.987 0.735 0.975
0.159 0.834 0.318
0.841 0.166 0.682
0.500 0.500 0.000
0.500 0.000 0.000
0.169 0.334 0.337
0.831 0.666 0.663
```

=====

# 2
## AsC5 (PBE-GGA)

Data for a geometry-optimized AsC5 structure.

As for the space group: P4/mmm. Its total magnetic moment is 0.000 μB per formula unit. The total energy is -38.51 eV/cell. The value obtained for the energy above the lowest structure with this stoichiometry is 1170 meV per atom. As for the calculated formation energy: 2.0437 eV per atom.

```
AsC5
1.0
2.500 0.000 0.000
0.000 2.500 0.000
0.000 0.000 7.920
C As
5 1
Direct
0.000 0.000 0.326
0.000 0.000 0.500
0.500 0.500 0.734
0.000 0.000 0.674
0.500 0.500 0.266
0.500 0.500 0.000
```

=====

# 3
## NdMg9Hg2 (PBE-GGA)

Data for a geometry-optimized NdMg9Hg2 structure.

As for the space group: I4_1/amd. Its total magnetic moment is 0.000 μB per formula unit. The total energy is -42.83 eV/cell. The value obtained for the energy above the lowest structure with this stoichiometry is 0 meV per atom. As for the calculated formation energy: -0.1409 eV per atom.

```
NdMg9Hg2
1.0
-5.376 5.249 1.618
-8.192 -1.433 -4.316
-5.334 -2.120 7.406
Mg Hg Nd
18 4 2
Direct
0.750 0.500 0.500
0.003 0.921 0.678
0.319 0.079 0.678
0.431 0.421 0.822
0.747 0.579 0.822
0.003 0.678 0.921
0.147 0.421 0.178
0.319 0.678 0.079
0.431 0.822 0.421
0.076 0.322 0.921
0.603 0.322 0.079
0.603 0.079 0.322
0.674 0.579 0.178
0.076 0.921 0.322
0.000 0.000 0.000
0.674 0.178 0.579
0.747 0.822 0.579
0.147 0.178 0.421
0.875 0.250 0.250
0.375 0.750 0.750
0.875 0.250 0.750
0.875 0.750 0.250
0.250 0.500 0.500
0.500 0.000 0.000
```

=====

# 4
## CeAs2Pd2Pt (PBE-GGA)

Data for a geometry-optimized CeAs2Pd2Pt structure.

As for the space group: Pmc2_1. Its total magnetic moment is 0.462 μB per formula unit. The total energy is -72.13 eV/cell. As for the calculated formation energy: -0.7344 eV per atom.

```
CeAs2Pd2Pt
1.0
4.459 0.000 0.000
0.000 8.309 0.000
0.000 0.000 6.172
As Pt Pd Ce
4 2 4 2
Direct
0.500 0.759 0.713
0.000 0.668 0.154
0.500 0.259 0.287
0.000 0.168 0.846
0.500 0.237 0.683
0.500 0.737 0.317
0.000 0.869 0.840
0.500 0.009 0.036
0.500 0.509 0.964
0.000 0.369 0.160
0.000 0.504 0.619
0.000 0.004 0.381
```